DFT (GGA-PBE) results for a relaxed structure of NdPaPd2.

Calculated values
space-group type	P4/mmm, No. 123
N(E_F)	1.512	states/eV/atom
electronic total energy	-26.762	eV for the cell shown
spin magnetization	0.17	μB/f.u.
crystal system	tetragonal
formation enthalpy at 0 K	-0.5281	eV per atom
energy relative to the lowest polymorph listed for this composition	0.000	eV per formula unit

The structure in POSCAR format:
```
NdPaPd2
1.0
3.5813 0.0000 0.0000
0.0000 3.5813 0.0000
0.0000 0.0000 7.1989
Pd Nd Pa
2 1 1
Cartesian
0.0000 0.0000 1.5354 Pd
0.0000 0.0000 5.6635 Pd
1.7906 1.7906 3.5995 Nd
1.7906 1.7906 0.0000 Pa
```